Entry 1:
First-principles (PBE-GGA) data for a relaxed structure of BaGaHgAu, as listed in OQMD via LeMat-Bulk.

Properties
* excess energy over the best structure of this formula in the dataset: 26 kJ/mol of formula units

abc: 7.491 7.491 7.491
angles: 90.00 90.00 90.00
Space group F-43m (No. 216)
Asymmetric unit:
Ba  0.000  0.000  0.000 x4
Ga  0.250  0.250  0.250 x4
Hg  0.250  0.250  0.750 x4
Au  0.000  0.000  0.500 x4

---

Entry 2:
First-principles (PBE-GGA) data for a relaxed structure of BaGaHgAu, as listed in OQMD via LeMat-Bulk.

Properties
* excess energy over the best structure of this formula in the dataset: 0 kJ/mol of formula units

abc: 7.626 7.626 7.626
angles: 90.00 90.00 90.00
Space group F-43m (No. 216)
Asymmetric unit:
Ba  0.000  0.000  0.000 x4
Ga  0.000  0.000  0.500 x4
Hg  0.250  0.250  0.250 x4
Au  0.250  0.250  0.750 x4

---

Entry 3:
First-principles (PBE-GGA) data for a relaxed structure of BaGaHgAu, as listed in OQMD via LeMat-Bulk.

Properties
* excess energy over the best structure of this formula in the dataset: 19 kJ/mol of formula units

abc: 7.541 7.541 7.541
angles: 90.00 90.00 90.00
Space group F-43m (No. 216)
Asymmetric unit:
Ba  0.000  0.000  0.000 x4
Ga  0.250  0.250  0.750 x4
Hg  0.000  0.000  0.500 x4
Au  0.250  0.250  0.250 x4

---

Entry 4:
First-principles (PBE-GGA) data for a relaxed structure of BaMgGaAu, as listed in OQMD via LeMat-Bulk.

Properties
* excess energy over the best structure of this formula in the dataset: 38 kJ/mol of formula units

abc: 7.311 7.311 7.311
angles: 90.00 90.00 90.00
Space group F-43m (No. 216)
Asymmetric unit:
Ba  0.000  0.000  0.000 x4
Mg  0.250  0.250  0.750 x4
Ga  0.250  0.250  0.250 x4
Au  0.000  0.000  0.500 x4

---

Entry 5:
First-principles (PBE-GGA) data for a relaxed structure of BaMgGaAu, as listed in OQMD via LeMat-Bulk.

Properties
* excess energy over the best structure of this formula in the dataset: 0 kJ/mol of formula units

abc: 7.506 7.506 7.506
angles: 90.00 90.00 90.00
Space group F-43m (No. 216)
Asymmetric unit:
Ba  0.000  0.000  0.000 x4
Mg  0.000  0.000  0.500 x4
Ga  0.250  0.250  0.750 x4
Au  0.250  0.250  0.250 x4

---

Entry 6:
First-principles (PBE-GGA) data for a relaxed structure of BaMgGaAu, as listed in OQMD via LeMat-Bulk.

Properties
* excess energy over the best structure of this formula in the dataset: 46 kJ/mol of formula units

abc: 7.474 7.474 7.474
angles: 90.00 90.00 90.00
Space group F-43m (No. 216)
Asymmetric unit:
Ba  0.000  0.000  0.000 x4
Mg  0.250  0.250  0.250 x4
Ga  0.000  0.000  0.500 x4
Au  0.250  0.250  0.750 x4

---

Entry 7:
First-principles (PBE-GGA) data for a relaxed structure of BaMg2GaAu, as listed in OQMD via LeMat-Bulk.

Properties
* energy: -2.72 eV per atom

abc: 4.656 4.656 12.008
angles: 90.00 90.00 90.00
Space group I4mm (No. 107)
Asymmetric unit:
Ba  0.000  0.000  0.000 x2
Mg  0.000  0.500  0.248 x4
Ga  0.000  0.000  0.609 x2
Au  0.000  0.000  0.383 x2

---

Entry 8:
First-principles (PBE-GGA) data for a relaxed structure of BaGa2NiAu, as listed in OQMD via LeMat-Bulk.

Properties
* energy: -3.82 eV per atom

abc: 4.515 4.515 10.686
angles: 90.00 90.00 90.00
Space group P4/nmm (No. 129, origin choice 2)
Asymmetric unit:
Ba  0.250  0.250  0.235 x2
Ga  0.250  0.250  0.908 x2
Ga  0.250  0.750  0.500 x2
Ni  0.250  0.750  0.000 x2
Au  0.250  0.250  0.638 x2